[1]
DFT (PBE) results for an optimized crystal structure of SmDy14Zr.

formation enthalpy at 0 K = 0.0359 eV per atom
space group = P4/mmm, No. 123

Unit cell a=7.0504 b=7.0504 c=9.9350 alpha=90.00 beta=90.00 gamma=90.00
Last column: nearest neighbours and their distance in Å.
Element x y z (fractional)
Sm 0.0000 0.0000 0.0000  12 Dy 3.52-3.53
Dy 0.0000 0.0000 0.5000  12 Dy 3.53-3.59
Dy 0.0000 0.5000 0.0000  8 Dy 3.49, 2 Zr 3.53, 2 Sm 3.53
Dy 0.0000 0.5000 0.5000  12 Dy 3.53-3.55
Dy 0.2553 0.2553 0.2454  1 Zr 3.45, 10 Dy 3.45-3.60, 1 Sm 3.52
Dy 0.2553 0.2553 0.7546  1 Zr 3.45, 10 Dy 3.45-3.60, 1 Sm 3.52
Dy 0.2553 0.7447 0.2454  1 Zr 3.45, 10 Dy 3.45-3.60, 1 Sm 3.52
Dy 0.2553 0.7447 0.7546  1 Zr 3.45, 10 Dy 3.45-3.60, 1 Sm 3.52
Dy 0.5000 0.0000 0.0000  8 Dy 3.49, 2 Zr 3.53, 2 Sm 3.53
Dy 0.5000 0.0000 0.5000  12 Dy 3.53-3.55
Dy 0.5000 0.5000 0.5000  12 Dy 3.51-3.53
Dy 0.7447 0.2553 0.2454  1 Zr 3.45, 10 Dy 3.45-3.60, 1 Sm 3.52
Dy 0.7447 0.2553 0.7546  1 Zr 3.45, 10 Dy 3.45-3.60, 1 Sm 3.52
Dy 0.7447 0.7447 0.2454  1 Zr 3.45, 10 Dy 3.45-3.60, 1 Sm 3.52
Dy 0.7447 0.7447 0.7546  1 Zr 3.45, 10 Dy 3.45-3.60, 1 Sm 3.52
Zr 0.5000 0.5000 0.0000  12 Dy 3.45-3.53

[2]
DFT (PBE) results for an optimized crystal structure of Sm12Dy7Zr.

formation enthalpy at 0 K = 0.2302 eV per atom
space group = R-3m, No. 166

Unit cell a=11.4583 b=11.4583 c=11.4583 alpha=116.89 beta=116.89 gamma=116.89
Last column: nearest neighbours and their distance in Å.
Element x y z (fractional)
Sm 0.0000 0.4133 0.5867  2 Dy 3.37, 5 Sm 3.39-3.74
Sm 0.0000 0.5867 0.4133  2 Dy 3.37, 5 Sm 3.39-3.74
Sm 0.0759 0.0759 0.4296  4 Dy 3.29-3.59, 1 Sm 3.32
Sm 0.0759 0.4296 0.0759  4 Dy 3.29-3.59, 1 Sm 3.32
Sm 0.4133 0.0000 0.5867  2 Dy 3.37, 5 Sm 3.39-3.74
Sm 0.4133 0.5867 0.0000  2 Dy 3.37, 5 Sm 3.39-3.74
Sm 0.4296 0.0759 0.0759  4 Dy 3.29-3.59, 1 Sm 3.32
Sm 0.5704 0.9241 0.9241  4 Dy 3.29-3.59, 1 Sm 3.32
Sm 0.5867 0.0000 0.4133  2 Dy 3.37, 5 Sm 3.39-3.74
Sm 0.5867 0.4133 0.0000  2 Dy 3.37, 5 Sm 3.39-3.74
Sm 0.9241 0.5704 0.9241  4 Dy 3.29-3.59, 1 Sm 3.32
Sm 0.9241 0.9241 0.5704  4 Dy 3.29-3.59, 1 Sm 3.32
Dy 0.0000 0.0000 0.0000  2 Zr 3.07, 6 Dy 3.30
Dy 0.1412 0.3830 0.3830  1 Zr 2.98, 2 Sm 3.29-3.34, 1 Dy 3.30
Dy 0.3830 0.1412 0.3830  1 Zr 2.98, 2 Sm 3.29-3.34, 1 Dy 3.30
Dy 0.3830 0.3830 0.1412  1 Zr 2.98, 2 Sm 3.29-3.34, 1 Dy 3.30
Dy 0.6170 0.6170 0.8588  1 Zr 2.98, 2 Sm 3.29-3.34, 1 Dy 3.30
Dy 0.6170 0.8588 0.6170  1 Zr 2.98, 2 Sm 3.29-3.34, 1 Dy 3.30
Dy 0.8588 0.6170 0.6170  1 Zr 2.98, 2 Sm 3.29-3.34, 1 Dy 3.30
Zr 0.5000 0.5000 0.5000  8 Dy 2.98-3.07